1.
# LaNiOs (PBE, relaxed)
# Energy of formation from the pure elements: -0.1612 eV per atom
# Polymorph energy (0 for the lowest one): 64 meV per atom
data_LaNiOs
_symmetry_space_group_name_H-M 'I m m a'
_symmetry_Int_Tables_number 74
_symmetry_space_group_name_Hall '-I 2b 2'
_cell_length_a 4.3453
_cell_length_b 4.8928
_cell_length_c 11.3866
_cell_angle_alpha 90.00
_cell_angle_beta 90.00
_cell_angle_gamma 90.00
loop_
_atom_site_label
_atom_site_type_symbol
_atom_site_fract_x
_atom_site_fract_y
_atom_site_fract_z
La1 La 0.0000 0.2500 0.1216
Ni1 Ni 0.0000 0.0000 0.5000
Os1 Os 0.0000 0.2500 0.6990


2.
# LaNiOs (PBE, relaxed)
# Energy of formation from the pure elements: -0.0506 eV per atom
# Polymorph energy (0 for the lowest one): 175 meV per atom
data_LaNiOs
_symmetry_space_group_name_H-M 'I m a 2'
_symmetry_Int_Tables_number 46
_symmetry_space_group_name_Hall 'I 2 -2a'
_cell_length_a 4.3624
_cell_length_b 7.4748
_cell_length_c 7.3969
_cell_angle_alpha 90.00
_cell_angle_beta 90.00
_cell_angle_gamma 90.00
loop_
_atom_site_label
_atom_site_type_symbol
_atom_site_fract_x
_atom_site_fract_y
_atom_site_fract_z
La1 La 0.2500 0.1872 0.0000
Ni1 Ni 0.2500 0.6111 0.1883
Os1 Os 0.2500 0.5728 0.8290


3.
# LaNiOs4 (PBE, relaxed)
# Energy of formation from the pure elements: 0.4976 eV per atom
data_LaNiOs4
_symmetry_space_group_name_H-M 'F -4 3 m'
_symmetry_Int_Tables_number 216
_symmetry_space_group_name_Hall 'F -4 2 3'
_cell_length_a 7.5127
_cell_length_b 7.5127
_cell_length_c 7.5127
_cell_angle_alpha 90.00
_cell_angle_beta 90.00
_cell_angle_gamma 90.00
loop_
_atom_site_label
_atom_site_type_symbol
_atom_site_fract_x
_atom_site_fract_y
_atom_site_fract_z
La1 La 0.0000 0.0000 0.0000
Ni1 Ni 0.2500 0.2500 0.7500
Os1 Os 0.1239 0.1239 0.3761